# Cs4Rb3Cl | Alexandria via LeMat-Bulk | GGA-PBE | optimized geometry
data_Cs4Rb3Cl
_chemical_formula_sum 'Cs8 Rb6 Cl2'
_cell_length_a 7.352
_cell_length_b 15.368
_cell_length_c 13.229
_cell_angle_alpha 90.00
_cell_angle_beta 90.00
_cell_angle_gamma 90.00
_symmetry_space_group_name_H-M 'P 1'
_symmetry_Int_Tables_number 1
loop_
_symmetry_equiv_pos_as_xyz
'x,y,z'
loop_
_atom_site_label
_atom_site_type_symbol
_atom_site_fract_x
_atom_site_fract_y
_atom_site_fract_z
_atom_site_occupancy
Cs1 Cs 0.436 0.278 0.166 1
Cs2 Cs 0.936 0.222 0.834 1
Cs3 Cs 0.936 0.778 0.834 1
Cs4 Cs 0.936 0.000 0.110 1
Cs5 Cs 0.936 0.500 0.195 1
Cs6 Cs 0.436 0.722 0.166 1
Cs7 Cs 0.436 0.500 0.890 1
Cs8 Cs 0.436 0.000 0.805 1
Rb1 Rb 0.436 0.689 0.577 1
Rb2 Rb 0.936 0.811 0.423 1
Rb3 Rb 0.936 0.189 0.423 1
Rb4 Rb 0.436 0.311 0.577 1
Rb5 Rb 0.936 0.500 0.589 1
Rb6 Rb 0.436 0.000 0.411 1
Cl1 Cl 0.436 0.500 0.145 1
Cl2 Cl 0.936 0.000 0.855 1
# Total magnetization   0.000 Bohr magnetons per cell
# Symmetry   Pmmn
# V   1494.7 Å³ per cell
# Energy relative to the elements, uncorrected   -42.1 kJ/mol of atoms